GGA-PBE CrSiSn3, optimized geometry; symmetry = No. 221; distance to the lowest polymorph of the same formula = 0 meV per atom; size of the total moment = 2.940 μB/f.u.
1.0
5.071 0.000 0.000
0.000 5.071 0.000
0.000 0.000 5.071
Sn Cr Si
3 1 1
Direct
0.500 0.000 0.000 Sn
0.000 0.500 0.000 Sn
0.000 0.000 0.500 Sn
0.000 0.000 0.000 Cr
0.500 0.500 0.500 Si